[1]
A plane-wave DFT calculation with PBE-GGA was carried out for a relaxed structure of Cs3RbZn.

Calculated values
- excess energy over the best structure of this formula in the dataset (meV per atom) = 0
- space group = Pm-3m

a b c (Å): 7.5906 7.5906 7.5906
angles (deg): 90.00 90.00 90.00
Closest atoms and distances in Å follow each position.
Positions (direct):
Cs: 0.0000 0.0000 0.5000  2 Zn 3.80
Cs: 0.0000 0.5000 0.0000  2 Zn 3.80
Cs: 0.5000 0.0000 0.0000  2 Zn 3.80
Rb: 0.5000 0.5000 0.5000  12 Cs 5.37
Zn: 0.0000 0.0000 0.0000  6 Cs 3.80


[2]
A plane-wave DFT calculation with PBE-GGA was carried out for a relaxed structure of Cs4Rb2Zn.

Calculated values
- excess energy over the best structure of this formula in the dataset (meV per atom) = 33
- space group = I4/mmm

a b c (Å): 13.3755 13.3755 13.3755
angles (deg): 147.71 147.71 46.32
Closest atoms and distances in Å follow each position.
Positions (direct):
Cs: 0.0000 0.5000 0.5000  2 Zn 3.72
Cs: 0.1610 0.1610 0.0000  1 Zn 3.96
Cs: 0.5000 0.0000 0.5000  2 Zn 3.72
Cs: 0.8390 0.8390 0.0000  1 Zn 3.96
Rb: 0.3578 0.3578 0.0000  9 Cs 4.84-5.28
Rb: 0.6422 0.6422 0.0000  9 Cs 4.84-5.28
Zn: 0.0000 0.0000 0.0000  6 Cs 3.72-3.96


[3]
A plane-wave DFT calculation with PBE-GGA was carried out for a relaxed structure of Cs2Rb4Zn.

Calculated values
- excess energy over the best structure of this formula in the dataset (meV per atom) = 31
- space group = I4/mmm

a b c (Å): 13.3514 13.3514 13.3514
angles (deg): 148.86 148.86 44.61
Closest atoms and distances in Å follow each position.
Positions (direct):
Cs: 0.1547 0.1547 0.0000  9 Rb 4.88-5.24
Cs: 0.8453 0.8453 0.0000  9 Rb 4.88-5.24
Rb: 0.0000 0.5000 0.5000  2 Zn 3.58
Rb: 0.3521 0.3521 0.0000  1 Zn 3.65
Rb: 0.5000 0.0000 0.5000  2 Zn 3.58
Rb: 0.6479 0.6479 0.0000  1 Zn 3.65
Zn: 0.5000 0.5000 0.0000  6 Rb 3.58-3.65


[4]
A plane-wave DFT calculation with PBE-GGA was carried out for a relaxed structure of Cs6Rb9Zn.

Calculated values
- space group = I4/m

a b c (Å): 13.8471 13.8471 13.8471
angles (deg): 130.47 130.47 72.66
Closest atoms and distances in Å follow each position.
Positions (direct):
Cs: 0.1108 0.3061 0.4169  1 Zn 3.78
Cs: 0.1703 0.1703 0.0000  1 Zn 3.80
Cs: 0.3061 0.8892 0.1954  1 Zn 3.78
Cs: 0.6939 0.1108 0.8046  1 Zn 3.78
Cs: 0.8297 0.8297 0.0000  1 Zn 3.80
Cs: 0.8892 0.6939 0.5831  1 Zn 3.78
Rb: 0.0304 0.4290 0.7973  5 Cs 5.13-5.33, 7 Rb 5.13-5.26
Rb: 0.2331 0.0304 0.6014  5 Cs 5.13-5.33, 7 Rb 5.13-5.26
Rb: 0.3683 0.7669 0.7973  5 Cs 5.13-5.33, 7 Rb 5.13-5.26
Rb: 0.4290 0.6317 0.3986  5 Cs 5.13-5.33, 7 Rb 5.13-5.26
Rb: 0.5000 0.5000 0.0000  4 Cs 5.04, 8 Rb 5.26
Rb: 0.5710 0.3683 0.6014  5 Cs 5.13-5.33, 7 Rb 5.13-5.26
Rb: 0.6317 0.2331 0.2027  5 Cs 5.13-5.33, 7 Rb 5.13-5.26
Rb: 0.7669 0.9696 0.3986  5 Cs 5.13-5.33, 7 Rb 5.13-5.26
Rb: 0.9696 0.5710 0.2027  5 Cs 5.13-5.33, 7 Rb 5.13-5.26
Zn: 0.0000 0.0000 0.0000  6 Cs 3.78-3.80


[5]
A plane-wave DFT calculation with PBE-GGA was carried out for a relaxed structure of Cs3RbZn.

Calculated values
- excess energy over the best structure of this formula in the dataset (meV per atom) = 287
- space group = Pm-3m

a b c (Å): 8.9804 8.9804 8.9804
angles (deg): 90.00 90.00 90.00
Closest atoms and distances in Å follow each position.
Positions (direct):
Cs: 0.0000 0.0000 0.5000  2 Rb 4.49
Cs: 0.0000 0.5000 0.0000  2 Rb 4.49
Cs: 0.5000 0.0000 0.0000  2 Rb 4.49
Rb: 0.0000 0.0000 0.0000  6 Cs 4.49
Zn: 0.5000 0.5000 0.5000  none within 6


[6]
A plane-wave DFT calculation with PBE-GGA was carried out for a relaxed structure of Cs2RbZn.

Calculated values
- excess energy over the best structure of this formula in the dataset (meV per atom) = 0
- space group = P4/mmm

a b c (Å): 4.8327 4.8327 12.5102
angles (deg): 90.00 90.00 90.00
Closest atoms and distances in Å follow each position.
Positions (direct):
Cs: 0.0000 0.0000 0.1790  4 Zn 4.09, 1 Cs 4.48
Cs: 0.0000 0.0000 0.8210  4 Zn 4.09, 1 Cs 4.48
Rb: 0.5000 0.5000 0.5000  4 Rb 4.83, 8 Cs 5.27
Zn: 0.5000 0.5000 0.0000  8 Cs 4.09


| no. | energy relative to the elements (meV per atom) |
| --- | --- |
| 1 | 91 |
| 2 | 95 |
| 3 | 95 |
| 4 | 32 |
| 5 | 378 |
| 6 | 121 |